[1]
AcPaIr after structural relaxation. Source: OQMD, functional PBE.

Cell: 5.0014 5.0014 5.0014 Å, 60.00 60.00 60.00°
Positions (direct):
1 Ac 0.0000 0.0000 0.0000
2 Pa 0.5000 0.5000 0.5000
3 Ir 0.7500 0.7500 0.7500

Computed properties:
The value obtained for the formation energy is -0.06 eV/atom.

---

[2]
Ac5Ir2Pb after structural relaxation. Source: OQMD, functional PBE.

Cell: 9.5477 9.5477 9.5477 Å, 127.37 127.37 77.65°
Positions (direct):
1 Ac 0.0000 0.0000 0.0000
2 Ac 0.0281 0.5281 0.8187
3 Ac 0.2094 0.0281 0.5000
4 Ac 0.2906 0.7906 0.8187
5 Ac 0.4719 0.2906 0.5000
6 Ac 0.5000 0.5000 0.0000
7 Ac 0.5281 0.7094 0.5000
8 Ac 0.7094 0.2094 0.1813
9 Ac 0.7906 0.9719 0.5000
10 Ac 0.9719 0.4719 0.1813
11 Ir 0.1430 0.3570 0.5000
12 Ir 0.3570 0.8570 0.2140
13 Ir 0.6430 0.1430 0.7860
14 Ir 0.8570 0.6430 0.5000
15 Pb 0.2500 0.2500 0.0000
16 Pb 0.7500 0.7500 0.0000

Computed properties:
As for the raw total energy: -46.55 eV/f.u.

---

Total magnetization values, unit μB/atom, following the record order: 0.333 0.003.